# 1
ScGa2PdW: optimized geometry, GGA-PBE.

The value obtained for the energy is -28.05 eV for the cell shown. The value obtained for the density is 7.0 g/cm³.

Cell: 4.8193 4.8527 4.8193 Å, 90.00 90.00 90.00°
Fractional coordinates of all 5 atoms:
1 Sc 0.5000 0.5000 0.5000
2 Ga 0.0000 0.0000 0.5000
3 Ga 0.5000 0.0000 0.0000
4 Pd 0.0000 0.5000 0.0000
5 W 0.0000 0.0000 0.0000

=====

# 2
YScGaPd: optimized geometry, GGA-PBE.

The value obtained for the energy is -23.84 eV for the cell shown. The value obtained for the density is 6.2 g/cm³.

Cell: 4.8887 4.8887 4.8887 Å, 60.00 60.00 60.00°
Fractional coordinates of all 4 atoms:
1 Y 0.7500 0.7500 0.7500
2 Sc 0.2500 0.2500 0.2500
3 Ga 0.0000 0.0000 0.0000
4 Pd 0.5000 0.5000 0.5000

=====

# 3
YSc2GaPd4: optimized geometry, GGA-PBE.

The value obtained for the energy is -49.57 eV for the cell shown. The value obtained for the density is 7.6 g/cm³.

Cell: 4.6333 4.6333 8.3476 Å, 73.89 73.89 60.00°
Fractional coordinates of all 8 atoms:
1 Y 0.0000 0.0000 0.0000
2 Sc 0.7579 0.7579 0.7262
3 Sc 0.2421 0.2421 0.2738
4 Ga 0.5000 0.5000 0.5000
5 Pd 0.3905 0.3905 0.8284
6 Pd 0.8732 0.8732 0.3805
7 Pd 0.1268 0.1268 0.6195
8 Pd 0.6095 0.6095 0.1716

=====

# 4
YScGaPd: optimized geometry, GGA-PBE.

The value obtained for the energy is -23.96 eV for the cell shown. The value obtained for the density is 6.0 g/cm³.

Cell: 3.5789 4.3737 5.7571 Å, 90.00 108.11 90.00°
Fractional coordinates of all 4 atoms:
1 Y 0.8516 0.5000 0.7032
2 Sc 0.1365 0.0000 0.2729
3 Ga 0.5817 0.5000 0.1634
4 Pd 0.4303 0.0000 0.8605

=====

# 5
ScZn2GaPd: optimized geometry, GGA-PBE.

The value obtained for the energy is -37.55 eV for the cell shown. The value obtained for the density is 6.3 g/cm³.

Cell: 3.0377 8.6288 7.1455 Å, 90.00 90.00 100.14°
Fractional coordinates of all 10 atoms:
1 Sc 0.4035 0.8070 0.7500
2 Sc 0.5965 0.1930 0.2500
3 Zn 0.1605 0.3209 0.9349
4 Zn 0.8395 0.6791 0.0651
5 Zn 0.1605 0.3209 0.5651
6 Zn 0.8395 0.6791 0.4349
7 Ga 0.0000 0.0000 0.0000
8 Ga 0.0000 0.0000 0.5000
9 Pd 0.7597 0.5194 0.7500
10 Pd 0.2403 0.4806 0.2500

=====

# 6
ScZnGaPd2: optimized geometry, GGA-PBE.

The value obtained for the energy is -19.79 eV for the cell shown. The value obtained for the density is 6.2 g/cm³.

Cell: 4.6389 4.8993 4.6389 Å, 90.00 90.00 90.00°
Fractional coordinates of all 5 atoms:
1 Sc 0.0000 0.5000 0.0000
2 Zn 0.0000 0.0000 0.0000
3 Ga 0.5000 0.5000 0.5000
4 Pd 0.0000 0.0000 0.5000
5 Pd 0.5000 0.0000 0.0000

=====

# 7
ScZnGaPd2: optimized geometry, GGA-PBE.

The value obtained for the energy is -21.03 eV for the cell shown. The value obtained for the density is 6.7 g/cm³.

Cell: 4.6860 4.4561 4.6860 Å, 90.00 90.00 90.00°
Fractional coordinates of all 5 atoms:
1 Sc 0.5000 0.5000 0.5000
2 Zn 0.0000 0.0000 0.0000
3 Ga 0.0000 0.5000 0.0000
4 Pd 0.0000 0.0000 0.5000
5 Pd 0.5000 0.0000 0.0000

=====

# 8
Sc4Zn2GaPd: optimized geometry, GGA-PBE.

The value obtained for the energy is -40.71 eV for the cell shown. The value obtained for the density is 5.4 g/cm³.

Cell: 4.7201 4.7201 8.1855 Å, 73.24 73.24 60.00°
Fractional coordinates of all 8 atoms:
1 Sc 0.3756 0.3756 0.8732
2 Sc 0.8742 0.8742 0.3773
3 Sc 0.1258 0.1258 0.6227
4 Sc 0.6244 0.6244 0.1268
5 Zn 0.7499 0.7499 0.7503
6 Zn 0.2501 0.2501 0.2497
7 Ga 0.0000 0.0000 0.0000
8 Pd 0.5000 0.5000 0.5000